Record 1
KCe2HoSe4 | PBE | relaxed

abc: 4.205 7.386 7.420
angles: 71.24 90.00 90.00
Last column: magnetic moment on the atom in μB.
Fractional coordinates of all 8 atoms:
1 K 0.500 0.500 0.000  0.00
2 Ce 0.000 0.000 0.000  1.10
3 Ce 0.500 0.000 0.500  0.96
4 Ho 0.000 0.500 0.500  0.03
5 Se 0.000 0.756 0.731  -0.02
6 Se 0.000 0.244 0.269  -0.02
7 Se 0.500 0.743 0.265  -0.01
8 Se 0.500 0.257 0.735  -0.01

Computed properties:
crystal system	monoclinic
raw total energy	-5.6102	eV per atom
formation energy without anion corrections	-1.675	eV/atom



Record 2
PuAs2Pt4 | PBE | relaxed

abc: 4.025 7.888 7.888
angles: 90.00 90.00 90.00
Last column: magnetic moment on the atom in μB.
Fractional coordinates of all 14 atoms:
1 As 0.000 0.210 0.790  -0.01
2 As 0.000 0.790 0.210  -0.01
3 As 0.500 0.710 0.710  -0.01
4 As 0.500 0.290 0.290  -0.01
5 Pt 0.000 0.096 0.344  0.00
6 Pt 0.000 0.904 0.656  0.00
7 Pt 0.500 0.156 0.596  0.00
8 Pt 0.500 0.844 0.404  0.00
9 Pt 0.500 0.404 0.844  0.00
10 Pt 0.500 0.596 0.156  0.00
11 Pt 0.000 0.344 0.096  0.00
12 Pt 0.000 0.656 0.904  0.00
13 Pu 0.500 0.000 0.000  5.26
14 Pu 0.000 0.500 0.500  5.26

Computed properties:
formation enthalpy at 0 K	-0.51	eV per atom
crystal system	tetragonal
raw total energy	-7.3350	eV per atom



Record 3
Cd6GaSn | PBE | relaxed

abc: 4.508 5.610 8.342
angles: 76.49 74.32 66.31
Fractional coordinates of all 8 atoms:
1 Cd 0.248 0.873 0.631
2 Cd 0.504 0.233 0.759
3 Cd 0.251 0.379 0.119
4 Cd 0.496 0.767 0.241
5 Cd 0.752 0.127 0.369
6 Cd 0.749 0.621 0.881
7 Ga 0.000 0.000 0.000
8 Sn 0.000 0.500 0.500

Computed properties:
energy relative to the lowest polymorph listed for this composition	0	meV/atom
formation enthalpy at 0 K	0.04	eV per atom
crystal system	monoclinic
raw total energy	-1.5255	eV per atom



Record 4
NaTaZn | PBE | relaxed

abc: 15.695 2.869 2.869
angles: 104.18 103.47 76.53
Fractional coordinates of all 6 atoms:
1 Na 0.392 0.843 0.157
2 Na 0.608 0.157 0.843
3 Zn 0.781 0.473 0.527
4 Zn 0.219 0.527 0.473
5 Ta 0.075 0.174 0.826
6 Ta 0.925 0.826 0.174

Computed properties:
energy relative to the lowest polymorph listed for this composition	0	meV/atom
formation enthalpy at 0 K	0.14	eV per atom
crystal system	monoclinic
raw total energy	-4.6780	eV per atom



Record 5
CuOs2Pt | PBE | relaxed

abc: 5.351 5.351 5.351
angles: 150.05 131.11 58.40
Fractional coordinates of all 4 atoms:
1 Cu 0.250 0.750 0.500
2 Os 0.025 0.025 0.000
3 Os 0.475 0.475 0.000
4 Pt 0.750 0.250 0.500

Computed properties:
energy relative to the lowest polymorph listed for this composition	298	meV/atom
formation enthalpy at 0 K	0.39	eV per atom
crystal system	orthorhombic
raw total energy	-7.7634	eV per atom



Record 6
MgCd2Pt | PBE | relaxed

abc: 4.600 4.601 8.680
angles: 90.00 90.00 119.98
Fractional coordinates of all 8 atoms:
1 Mg 0.000 0.999 0.250
2 Mg 0.000 0.001 0.750
3 Cd 0.333 0.667 0.576
4 Cd 0.667 0.333 0.424
5 Cd 0.333 0.667 0.924
6 Cd 0.667 0.333 0.076
7 Pt 0.667 0.334 0.750
8 Pt 0.333 0.666 0.250

Computed properties:
formation enthalpy at 0 K	-0.41	eV per atom
crystal system	orthorhombic
raw total energy	-2.7754	eV per atom



Record 7
TlGe2S2 | PBE | relaxed

abc: 4.924 4.924 6.014
angles: 65.83 65.83 90.00
Fractional coordinates of all 5 atoms:
1 S 0.750 0.250 0.500
2 S 0.250 0.750 0.500
3 Tl 0.000 0.000 0.000
4 Ge 0.345 0.345 0.310
5 Ge 0.655 0.655 0.690

Computed properties:
energy relative to the lowest polymorph listed for this composition	0	meV/atom
crystal system	tetragonal
raw total energy	-4.0574	eV per atom
formation energy without anion corrections	-0.086	eV/atom



Record 8
TaAlP3 | PBE | relaxed

abc: 4.511 4.511 4.511
angles: 90.00 90.00 90.00
Fractional coordinates of all 5 atoms:
1 P 0.000 0.500 0.000
2 P 0.000 0.000 0.500
3 P 0.500 0.000 0.000
4 Al 0.000 0.000 0.000
5 Ta 0.500 0.500 0.500

Computed properties:
energy relative to the lowest polymorph listed for this composition	568	meV/atom
formation enthalpy at 0 K	1.00	eV per atom
crystal system	cubic
raw total energy	-5.3670	eV per atom